A plane-wave DFT calculation with meta-GGA SCAN was carried out for a PBEsol-optimized structure of TlCd4.

## Properties
- Energy above the most stable polymorph in this dataset: 15 meV/atom
- Energy relative to the elements: 0.086 eV/atom

Unit cell a=9.891 b=9.891 c=9.891 alpha=90.00 beta=90.00 gamma=90.00
Space group I-43m (No. 217)
Symmetry-distinct sites (fractional):
1 Tl 0.212 0.212 0.788 [8 per cell]
2 Cd 0.000 0.000 0.350 [12 per cell]
3 Cd 0.000 0.250 0.500 [12 per cell]
4 Cd 0.112 0.112 0.112 [8 per cell]



A plane-wave DFT calculation with meta-GGA SCAN was carried out for a PBEsol-optimized structure of TlCd7.

## Properties
- Energy relative to the elements: 0.056 eV/atom

Unit cell a=8.866 b=8.866 c=8.866 alpha=90.00 beta=90.00 gamma=90.00
Space group Fm-3m (No. 225)
Symmetry-distinct sites (fractional):
1 Tl 0.000 0.000 0.000 [4 per cell]
2 Cd 0.000 0.000 0.500 [4 per cell]
3 Cd 0.000 0.250 0.250 [24 per cell]